(1)
Computed, not measured: a geometry-optimized Rb3TcO structure at the PBE level of DFT.

As for the crystal system: cubic. Its energy is -15.9 eV per formula unit. The value obtained for the relative energy among the computed polymorphs is 0 meV/atom. For the formation energy (no corrections), the calculation gives 0.46 eV/atom. As for the density: 3.303 g/cm3.

```
Rb3TcO
1.0
5.711 0.000 0.000
0.000 5.711 0.000
0.000 0.000 5.711
Rb Tc O
3 1 1
direct
0.000 0.000 0.500
0.000 0.500 0.000
0.500 0.000 0.000
0.500 0.500 0.500
0.000 0.000 0.000
```


(2)
Computed, not measured: a geometry-optimized CaLaIr2 structure at the PBE level of DFT.

As for the crystal system: tetragonal. Its energy is -25.0 eV per formula unit. The value obtained for the relative energy among the computed polymorphs is 288 meV/atom. As for the density: 10.495 g/cm3. The calculation puts the formation energy at -91.1 meV/atom.

```
CaLaIr2
1.0
7.677 0.000 0.000
0.000 7.677 0.000
0.000 0.000 6.051
Ca La Ir
4 4 8
direct
0.000 0.000 0.000
0.000 0.500 0.250
0.500 0.000 0.750
0.500 0.500 0.500
0.000 0.000 0.500
0.000 0.500 0.750
0.500 0.000 0.250
0.500 0.500 0.000
0.243 0.250 0.625
0.250 0.743 0.875
0.250 0.757 0.375
0.257 0.250 0.125
0.743 0.750 0.125
0.750 0.243 0.375
0.750 0.257 0.875
0.757 0.750 0.625
```


(3)
Computed, not measured: a geometry-optimized Zr2NbAg2 structure at the PBE level of DFT.

As for the crystal system: tetragonal. Its energy is -31.8 eV per formula unit. The value obtained for the relative energy among the computed polymorphs is 176 meV/atom. As for the density: 8.047 g/cm3. The calculation puts the formation energy at 223.2 meV/atom.

```
Zr2NbAg2
1.0
8.414 0.000 0.000
0.000 8.414 0.000
0.000 0.000 2.863
Zr Nb Ag
4 2 4
direct
0.181 0.319 0.000
0.319 0.819 0.000
0.681 0.181 0.000
0.819 0.681 0.000
0.000 0.000 0.500
0.500 0.500 0.500
0.117 0.617 0.500
0.383 0.117 0.500
0.617 0.883 0.500
0.883 0.383 0.500
```


(4)
Computed, not measured: a geometry-optimized LuThCuAg structure at the PBE level of DFT.

As for the crystal system: cubic. Its energy is -19.4 eV per formula unit. As for the density: 10.324 g/cm3. The calculation puts the formation energy at -126.7 meV/atom.

```
LuThCuAg
1.0
7.193 0.000 0.000
0.000 7.193 0.000
0.000 0.000 7.193
Lu Th Cu Ag
4 4 4 4
direct
0.000 0.000 0.000
0.000 0.500 0.500
0.500 0.000 0.500
0.500 0.500 0.000
0.000 0.000 0.500
0.000 0.500 0.000
0.500 0.000 0.000
0.500 0.500 0.500
0.250 0.250 0.750
0.250 0.750 0.250
0.750 0.250 0.250
0.750 0.750 0.750
0.250 0.250 0.250
0.250 0.750 0.750
0.750 0.250 0.750
0.750 0.750 0.250
```


(5)
Computed, not measured: a geometry-optimized LaTcW3 structure at the PBE level of DFT.

As for the crystal system: cubic. Its energy is -38.5 eV per formula unit. The value obtained for the relative energy among the computed polymorphs is 1781 meV/atom. As for the density: 12.413 g/cm3. The calculation puts the formation energy at 3123.3 meV/atom.

```
LaTcW3
1.0
4.725 0.000 0.000
0.000 4.725 0.000
0.000 0.000 4.725
La Tc W
1 1 3
direct
0.000 0.000 0.000
0.500 0.500 0.500
0.000 0.000 0.500
0.000 0.500 0.000
0.500 0.000 0.000
```


(6)
Computed, not measured: a geometry-optimized Rb2Pb2I5 structure at the PBE level of DFT.

As for the crystal system: monoclinic. Its energy is -24.8 eV per formula unit. For the formation energy (no corrections), the calculation gives -0.85 eV/atom. As for the density: 4.473 g/cm3.

```
Rb2Pb2I5
1.0
8.350 -3.349 0.000
8.350 3.349 0.000
-5.571 0.000 8.096
Rb Pb I
2 2 5
direct
0.111 0.111 0.275
0.889 0.889 0.725
0.384 0.384 0.182
0.616 0.616 0.818
0.149 0.149 0.888
0.373 0.373 0.500
0.500 0.500 0.000
0.627 0.627 0.500
0.851 0.851 0.112
```


(7)
Computed, not measured: a geometry-optimized MnZn2AsCl structure at the PBE level of DFT.

As for the crystal system: tetragonal. Its energy is -13.8 eV per formula unit. For the formation energy (no corrections), the calculation gives 0.89 eV/atom. As for the density: 4.232 g/cm3.

```
MnZn2AsCl
1.0
4.796 0.000 0.000
0.000 4.796 0.000
0.000 0.000 5.052
Mn Zn As Cl
1 2 1 1
direct
0.000 0.000 0.000
0.000 0.500 0.500
0.500 0.000 0.500
0.500 0.500 0.000
0.500 0.500 0.500
```


(8)
Computed, not measured: a geometry-optimized ZnHRh2 structure at the PBE level of DFT.

As for the crystal system: orthorhombic. Its energy is -19.1 eV per formula unit. The value obtained for the relative energy among the computed polymorphs is 214 meV/atom. As for the density: 9.587 g/cm3.

```
ZnHRh2
1.0
5.530 0.000 0.000
0.000 2.770 0.000
0.000 0.000 6.155
Zn H Rh
2 2 4
direct
0.250 0.000 0.011
0.750 0.000 0.989
0.250 0.000 0.653
0.750 0.000 0.347
0.003 0.500 0.708
0.497 0.500 0.708
0.503 0.500 0.292
0.997 0.500 0.292
```


(9)
Computed, not measured: a geometry-optimized SrGa2Hg2 structure at the PBE level of DFT.

As for the crystal system: tetragonal. Its energy is -9.0 eV per formula unit. As for the density: 8.104 g/cm3. The calculation puts the formation energy at -129.7 meV/atom.

```
SrGa2Hg2
1.0
8.380 0.000 0.000
0.000 8.380 0.000
0.000 0.000 3.666
Sr Ga Hg
2 4 4
direct
0.000 0.000 0.000
0.500 0.500 0.000
0.166 0.334 0.500
0.334 0.834 0.500
0.666 0.166 0.500
0.834 0.666 0.500
0.131 0.631 0.000
0.369 0.131 0.000
0.631 0.869 0.000
0.869 0.369 0.000
```


(10)
Computed, not measured: a geometry-optimized Na2TlIn structure at the PBE level of DFT.

As for the crystal system: monoclinic. Its energy is -8.1 eV per formula unit. The value obtained for the relative energy among the computed polymorphs is 29 meV/atom. As for the density: 5.452 g/cm3. The calculation puts the formation energy at -93.7 meV/atom.

```
Na2TlIn
1.0
3.245 0.000 0.000
0.000 5.133 0.000
-1.211 0.000 6.679
Na Tl In
2 1 1
direct
0.008 0.000 0.247
0.992 0.000 0.753
0.500 0.500 0.500
0.500 0.500 0.000
```


(11)
Computed, not measured: a geometry-optimized Ba4YIn structure at the PBE level of DFT.

As for the crystal system: cubic. Its energy is -14.5 eV per formula unit. As for the density: 4.401 g/cm3. The calculation puts the formation energy at 404.4 meV/atom.

```
Ba4YIn
1.0
0.000 5.218 5.218
5.218 0.000 5.218
5.218 5.218 0.000
Ba Y In
4 1 1
direct
0.125 0.125 0.125
0.125 0.125 0.626
0.125 0.626 0.125
0.626 0.125 0.125
0.500 0.500 0.500
0.750 0.750 0.750
```